Entry 1:
MoPt2Au after structural relaxation. Source: the Alexandria database, functional PBE.

Unit cell a=4.528 b=4.528 c=4.528 alpha=60.00 beta=60.00 gamma=60.00
Atoms (fractional coordinates):
Pt  0.250  0.250  0.250
Pt  0.750  0.750  0.750
Mo  0.000  0.000  0.000
Au  0.500  0.500  0.500

Calculated values
Its offset from the most stable computed form is 0.345 eV per atom. For the magnetic moment, the calculation gives 0.00 μB/cell. As for the space group: Fm-3m (225). The calculation puts the formation energy at 0.5 eV per formula unit.

Entry 2:
Ac2As4Pt3Rh after structural relaxation. Source: the Alexandria database, functional PBE.

Unit cell a=4.533 b=4.533 c=10.053 alpha=90.00 beta=90.00 gamma=90.00
Atoms (fractional coordinates):
As  0.500  0.000  0.627
As  0.500  0.500  0.000
As  0.000  0.500  0.373
As  0.000  0.000  0.000
Pt  0.500  0.000  0.882
Pt  0.000  0.000  0.500
Pt  0.000  0.500  0.118
Rh  0.500  0.500  0.500
Ac  0.500  0.000  0.252
Ac  0.000  0.500  0.748

Calculated values
For the magnetic moment, the calculation gives 0.00 μB/cell. As for the space group: P-4m2 (115). The calculation puts the formation energy at -9.3 eV per formula unit.

Entry 3:
PrNd7Sm3 after structural relaxation. Source: the Alexandria database, functional PBE.

Unit cell a=3.654 b=11.149 c=11.149 alpha=120.00 beta=90.00 gamma=90.00
Atoms (fractional coordinates):
Nd  0.965  0.870  0.130
Nd  0.465  0.642  0.821
Nd  0.965  0.870  0.741
Nd  0.965  0.259  0.130
Nd  0.465  0.179  0.358
Nd  0.465  0.179  0.821
Nd  0.964  0.333  0.667
Pr  0.466  0.667  0.333
Sm  0.966  0.511  0.489
Sm  0.966  0.978  0.489
Sm  0.966  0.511  0.022

Calculated values
Its offset from the most stable computed form is 0.000 eV per atom. For the magnetic moment, the calculation gives 0.00 μB/cell. As for the space group: P3m1 (156). The calculation puts the formation energy at 1.4 eV per formula unit.

Entry 4:
LiTa2VCl after structural relaxation. Source: the Alexandria database, functional PBE.

Unit cell a=4.575 b=4.293 c=4.575 alpha=90.00 beta=90.00 gamma=90.00
Site moments in Bohr magnetons follow the coordinates.
Atoms (fractional coordinates):
Ta  0.500  0.000  0.000  0.17
Ta  0.000  0.000  0.500  0.15
V  0.000  0.500  0.000  1.48
Li  0.500  0.500  0.500  0.00
Cl  0.000  0.000  0.000  -0.02

Calculated values
For the magnetic moment, the calculation gives 2.11 μB/cell. As for the space group: P4/mmm (123). The energy relative to the elements, uncorrected is 0.8825 eV per atom.

Entry 5:
TbPaAl4 after structural relaxation. Source: the Alexandria database, functional PBE.

Unit cell a=5.553 b=5.553 c=5.553 alpha=60.00 beta=60.00 gamma=60.00
Atoms (fractional coordinates):
Al  0.624  0.624  0.127
Al  0.624  0.127  0.624
Al  0.624  0.624  0.624
Al  0.127  0.624  0.624
Tb  0.000  0.000  0.000
Pa  0.250  0.250  0.250

Calculated values
For the magnetic moment, the calculation gives 0.00 μB/cell. As for the space group: F-43m (216). The calculation puts the formation energy at -2.1 eV per formula unit.

Entry 6:
ScBiF2 after structural relaxation. Source: the Alexandria database, functional PBE.

Unit cell a=9.519 b=9.519 c=9.519 alpha=20.26 beta=20.26 gamma=20.26
Site moments in Bohr magnetons follow the coordinates.
Atoms (fractional coordinates):
Sc  0.500  0.500  0.500  0.65
F  0.131  0.131  0.131  0.02
F  0.869  0.869  0.869  0.02
Bi  0.000  0.000  0.000  -0.03

Calculated values
Its offset from the most stable computed form is 0.000 eV per atom. For the magnetic moment, the calculation gives 0.79 μB/cell. As for the space group: R-3m (166). The energy relative to the elements, uncorrected is -2.2560 eV per atom.

Entry 7:
Gd2DyGa after structural relaxation. Source: the Alexandria database, functional PBE.

Unit cell a=3.490 b=3.490 c=11.926 alpha=81.59 beta=81.59 gamma=60.00
Site moments in Bohr magnetons follow the coordinates.
Atoms (fractional coordinates):
Gd  0.914  0.914  0.257  7.23
Gd  0.086  0.086  0.743  7.23
Dy  0.500  0.500  0.500  -0.15
Ga  0.000  0.000  0.000  0.02

Calculated values
Its offset from the most stable computed form is 0.412 eV per atom. For the magnetic moment, the calculation gives 14.84 μB/cell. As for the space group: R-3m (166). The calculation puts the formation energy at 0.6 eV per formula unit.

Entry 8:
MgTcSnH after structural relaxation. Source: the Alexandria database, functional PBE.

Unit cell a=3.200 b=3.200 c=20.227 alpha=90.00 beta=90.00 gamma=120.00
Atoms (fractional coordinates):
Tc  0.333  0.667  0.034
Tc  0.667  0.333  0.701
Tc  0.000  0.000  0.367
Mg  0.667  0.333  0.928
Mg  0.333  0.667  0.261
Mg  0.000  0.000  0.595
H  0.333  0.667  0.673
H  0.000  0.000  0.006
H  0.667  0.333  0.339
Sn  0.333  0.667  0.470
Sn  0.667  0.333  0.137
Sn  0.000  0.000  0.803

Calculated values
Its offset from the most stable computed form is 0.099 eV per atom. For the magnetic moment, the calculation gives 0.00 μB/cell. As for the space group: R3m (160).

Entry 9:
Ho8Mg2Sc after structural relaxation. Source: the Alexandria database, functional PBE.

Unit cell a=5.542 b=8.800 c=8.800 alpha=121.48 beta=102.13 gamma=102.13
Atoms (fractional coordinates):
Ho  0.500  0.793  0.207
Ho  0.299  0.604  0.604
Ho  0.128  0.099  0.320
Ho  0.128  0.320  0.099
Ho  0.500  0.207  0.793
Ho  0.872  0.901  0.680
Ho  0.872  0.680  0.901
Ho  0.701  0.396  0.396
Mg  0.000  0.305  0.695
Mg  0.000  0.695  0.305
Sc  0.500  0.000  0.000

Calculated values
Its offset from the most stable computed form is 0.123 eV per atom. For the magnetic moment, the calculation gives 0.00 μB/cell. As for the space group: C2/m (12). The calculation puts the formation energy at 1.6 eV per formula unit.

Entry 10:
NaBe3Nb after structural relaxation. Source: the Alexandria database, functional PBE.

Unit cell a=4.055 b=4.055 c=4.055 alpha=90.00 beta=90.00 gamma=90.00
Atoms (fractional coordinates):
Nb  0.500  0.500  0.500
Be  0.000  0.500  0.000
Be  0.000  0.000  0.500
Be  0.500  0.000  0.000
Na  0.000  0.000  0.000

Calculated values
Its offset from the most stable computed form is 0.021 eV per atom. For the magnetic moment, the calculation gives 0.00 μB/cell. As for the space group: Pm-3m (221). The calculation puts the formation energy at 6.9 eV per formula unit.

Entry 11:
Pr4Nd3DyS8 after structural relaxation. Source: the Alexandria database, functional PBE.

Unit cell a=8.133 b=8.148 c=8.132 alpha=119.94 beta=120.00 gamma=90.00
Atoms (fractional coordinates):
S  0.251  0.254  0.502
S  0.243  0.741  0.486
S  0.243  0.741  0.998
S  0.755  0.741  0.998
S  0.749  0.746  0.498
S  0.245  0.259  0.002
S  0.757  0.259  0.514
S  0.757  0.259  0.002
Pr  0.000  0.000  0.000
Pr  0.500  0.000  0.500
Pr  0.000  0.000  0.500
Pr  0.500  0.000  0.000
Nd  0.500  0.500  0.000
Nd  0.000  0.500  0.500
Nd  0.500  0.500  0.500
Dy  0.000  0.500  0.000

Calculated values
For the magnetic moment, the calculation gives 0.00 μB/cell. As for the space group: R-3m (166). The energy relative to the elements, uncorrected is -2.0135 eV per atom.

Entry 12:
Tb8Dy6Al after structural relaxation. Source: the Alexandria database, functional PBE.

Unit cell a=6.246 b=9.343 c=9.343 alpha=120.00 beta=90.00 gamma=90.00
Atoms (fractional coordinates):
Tb  0.804  0.220  0.958
Tb  0.813  0.333  0.667
Tb  0.196  0.958  0.738
Tb  0.196  0.780  0.042
Tb  0.196  0.262  0.220
Tb  0.804  0.042  0.262
Tb  0.804  0.738  0.780
Tb  0.187  0.667  0.333
Al  0.500  0.000  0.000
Dy  0.314  0.361  0.906
Dy  0.314  0.094  0.455
Dy  0.314  0.545  0.639
Dy  0.686  0.906  0.545
Dy  0.686  0.639  0.094
Dy  0.686  0.455  0.361

Calculated values
For the magnetic moment, the calculation gives 0.00 μB/cell. As for the space group: P-3 (147). The calculation puts the formation energy at 1.4 eV per formula unit.